(1)
VASP calculation (GGA-PBE) on an optimized crystal structure of CaPmNd6Er2.

```
CaPmNd6Er2
1.0
4.6295 -7.7405 0.0000
4.6295 7.7405 0.0000
-1.4247 0.0000 9.8027
Ca Pm Nd Er
2 2 12 4
direct
0.0978 0.9022 0.7500
0.9022 0.0978 0.2500
0.4722 0.5278 0.2500
0.5278 0.4722 0.7500
0.0045 0.7918 0.3782
0.0657 0.5261 0.1766
0.2082 0.9955 0.1218
0.2615 0.6113 0.5523
0.3887 0.7385 0.9477
0.4739 0.9343 0.3234
0.5261 0.0657 0.6766
0.6113 0.2615 0.0523
0.7385 0.3887 0.4477
0.7918 0.0045 0.8782
0.9343 0.4739 0.8234
0.9955 0.2082 0.6218
0.2020 0.3021 0.9550
0.3021 0.2020 0.4550
0.6979 0.7980 0.5450
0.7980 0.6979 0.0450
```

## Properties
total DFT energy (no corrections) = -0.317 Ry/atom
space-group type = C2/c, No. 15

=====

(2)
VASP calculation (GGA-PBE) on an optimized crystal structure of La3Pr8Sm2.

```
La3Pr8Sm2
1.0
6.4233 0.0000 0.0000
1.0858 8.2489 0.0000
1.0476 -0.1361 17.7366
La Pr Sm
6 16 4
direct
0.0000 0.0000 0.0000
0.0000 0.5000 0.5000
0.3859 0.4619 0.2305
0.3871 0.9614 0.7309
0.6129 0.0386 0.2691
0.6141 0.5381 0.7695
0.0760 0.1922 0.3465
0.0757 0.6938 0.8469
0.1553 0.3836 0.6921
0.1555 0.8850 0.1924
0.2305 0.0764 0.5382
0.2315 0.5760 0.0380
0.3074 0.2676 0.8853
0.4621 0.6535 0.5764
0.5379 0.3465 0.4236
0.6926 0.7324 0.1147
0.7685 0.4240 0.9620
0.7695 0.9236 0.4618
0.8445 0.1150 0.8076
0.8447 0.6164 0.3079
0.9243 0.3062 0.1531
0.9240 0.8078 0.6535
0.3073 0.7694 0.3847
0.4617 0.1538 0.0763
0.5383 0.8462 0.9237
0.6927 0.2306 0.6153
```

## Properties
total DFT energy (no corrections) = -0.352 Ry/atom
space-group type = P-1, No. 2

=====

(3)
VASP calculation (GGA-PBE) on an optimized crystal structure of Tl6IO2F.

```
Tl6IO2F
1.0
7.5001 -7.0877 0.0000
7.5001 7.0877 0.0000
-2.7657 0.0000 6.0703
Tl I O F
12 2 4 2
direct
0.0571 0.1934 0.2418
0.1742 0.5649 0.5385
0.1934 0.0571 0.7418
0.2935 0.4363 0.0334
0.4351 0.8258 0.9615
0.4363 0.2935 0.5334
0.5637 0.7065 0.4666
0.5649 0.1742 0.0385
0.7065 0.5637 0.9666
0.8066 0.9429 0.2582
0.8258 0.4351 0.4615
0.9429 0.8066 0.7582
0.1817 0.8183 0.2500
0.8183 0.1817 0.7500
0.2198 0.3620 0.3117
0.3620 0.2198 0.8117
0.6380 0.7802 0.1883
0.7802 0.6380 0.6883
0.4247 0.5753 0.7500
0.5753 0.4247 0.2500
```

## Properties
raw formation energy = -775 meV per atom
total DFT energy (no corrections) = -0.259 Ry/atom
space-group type = C2/c, No. 15

=====

(4)
VASP calculation (GGA-PBE) on an optimized crystal structure of TcCI2O.

```
TcCI2O
1.0
5.5050 0.0000 0.0000
0.0000 5.5050 0.0000
0.0000 0.0000 3.7306
Tc C I O
1 1 2 1
direct
0.0000 0.0000 0.0000
0.5000 0.5000 0.5000
0.0000 0.5000 0.0000
0.5000 0.0000 0.0000
0.0000 0.0000 0.5000
```

## Properties
raw formation energy = 1080 meV per atom
total DFT energy (no corrections) = -0.327 Ry/atom
space-group type = P4/mmm, No. 123

=====

(5)
VASP calculation (GGA-PBE) on an optimized crystal structure of AlOs3Au.

```
AlOs3Au
1.0
4.4303 0.0000 0.0000
0.0000 4.4303 0.0000
0.0000 0.0000 4.4303
Al Os Au
1 3 1
direct
0.0000 0.0000 0.0000
0.0000 0.0000 0.5000
0.0000 0.5000 0.0000
0.5000 0.0000 0.0000
0.5000 0.5000 0.5000
```

## Properties
total DFT energy (no corrections) = -0.470 Ry/atom
space-group type = Pm-3m, No. 221

=====

(6)
VASP calculation (GGA-PBE) on an optimized crystal structure of LiScPaPt.

```
LiScPaPt
1.0
0.0000 3.4338 3.4338
3.4338 0.0000 3.4338
3.4338 3.4338 0.0000
Li Sc Pa Pt
1 1 1 1
direct
0.0000 0.0000 0.0000
0.7500 0.7500 0.7500
0.2500 0.2500 0.2500
0.5000 0.5000 0.5000
```

## Properties
total DFT energy (no corrections) = -0.460 Ry/atom
space-group type = F-43m, No. 216

=====

(7)
VASP calculation (GGA-PBE) on an optimized crystal structure of CdSiTcO6.

```
CdSiTcO6
1.0
4.9855 0.0000 0.0000
-2.4928 4.3176 0.0000
0.0000 0.0000 9.7273
Cd Si Tc O
2 2 2 12
direct
0.0000 0.0000 0.0000
0.0000 0.0000 0.5000
0.3333 0.6667 0.2500
0.6667 0.3333 0.7500
0.3333 0.6667 0.7500
0.6667 0.3333 0.2500
0.0204 0.3855 0.1459
0.0204 0.6349 0.3541
0.3651 0.3855 0.3541
0.3651 0.9796 0.1459
0.3855 0.0204 0.6459
0.3855 0.3651 0.8541
0.6145 0.6349 0.1459
0.6145 0.9796 0.3541
0.6349 0.0204 0.8541
0.6349 0.6145 0.6459
0.9796 0.3651 0.6459
0.9796 0.6145 0.8541
```

## Properties
raw formation energy = -1645 meV per atom
total DFT energy (no corrections) = -0.500 Ry/atom
space-group type = P-31c, No. 163

=====

(8)
VASP calculation (GGA-PBE) on an optimized crystal structure of GaSeN2F.

```
GaSeN2F
1.0
4.0109 0.0000 0.0000
0.0000 4.0109 0.0000
0.0000 0.0000 3.7334
Ga Se N F
1 1 2 1
direct
0.0000 0.0000 0.0000
0.5000 0.5000 0.5000
0.0000 0.5000 0.0000
0.5000 0.0000 0.0000
0.0000 0.0000 0.5000
```

## Properties
raw formation energy = 638 meV per atom
total DFT energy (no corrections) = -0.321 Ry/atom
space-group type = P4/mmm, No. 123

=====

Q: Which of these has the highest total DFT energy (no corrections)?
A: Tl6IO2F

=====

Copy entry 6 word for word.
VASP calculation (GGA-PBE) on an optimized crystal structure of LiScPaPt.

```
LiScPaPt
1.0
0.0000 3.4338 3.4338
3.4338 0.0000 3.4338
3.4338 3.4338 0.0000
Li Sc Pa Pt
1 1 1 1
direct
0.0000 0.0000 0.0000
0.7500 0.7500 0.7500
0.2500 0.2500 0.2500
0.5000 0.5000 0.5000
```

## Properties
total DFT energy (no corrections) = -0.460 Ry/atom
space-group type = F-43m, No. 216